(1)
Y3HoEr2Sb6 after structural relaxation. Source: Alexandria, functional GGA-PBE. Values from VASP.

Summary:
- final energy (eV for the cell shown) = -71.43

Structure (Quantum ESPRESSO input):
```
&SYSTEM
  ibrav = 0, nat = 12, ntyp = 4
/
ATOMIC_SPECIES
Er 167.26 Er.upf
Y 88.91 Y.upf
Sb 121.76 Sb.upf
Ho 164.93 Ho.upf
ATOMIC_POSITIONS crystal
Er 0.6667 0.3333 0.0000
Er 0.3333 0.6667 0.0000
Y 0.8335 0.1665 0.5000
Y 0.5000 0.5000 0.5000
Y 0.1665 0.8335 0.5000
Sb 0.0825 0.4164 0.2476
Sb 0.2514 0.2514 0.7525
Sb 0.7486 0.7486 0.2475
Sb 0.5836 0.9175 0.7524
Sb 0.4164 0.0825 0.2476
Sb 0.9175 0.5836 0.7524
Ho 0.0000 0.0000 0.0000
CELL_PARAMETERS angstrom
7.5784 -0.0010 0.0013
-3.7883 6.5637 0.0013
-1.2633 -2.1874 7.1405
```

(2)
Ho8ErSc2 after structural relaxation. Source: Alexandria, functional GGA-PBE. Values from VASP.

Summary:
- final energy (eV for the cell shown) = -51.65
- excess energy over the best structure of this formula in the dataset (meV/atom) = 25
- formation energy from the elements (eV per atom) = 0.20

Structure (Quantum ESPRESSO input):
```
&SYSTEM
  ibrav = 0, nat = 11, ntyp = 3
/
ATOMIC_SPECIES
Ho 164.93 Ho.upf
Sc 44.96 Sc.upf
Er 167.26 Er.upf
ATOMIC_POSITIONS crystal
Ho 0.7560 0.5647 0.5647
Ho 0.3022 0.8636 0.3426
Ho 0.6747 0.2111 0.2111
Ho 0.6978 0.1364 0.6574
Ho 0.6978 0.6574 0.1364
Ho 0.3253 0.7889 0.7889
Ho 0.3022 0.3426 0.8636
Ho 0.2440 0.4353 0.4353
Sc 0.8956 0.7215 0.7215
Sc 0.1044 0.2785 0.2785
Er 0.0000 0.0000 0.0000
CELL_PARAMETERS angstrom
6.1090 0.4963 1.7033
1.0169 7.4148 5.1554
0.4259 1.9635 8.8631
```

(3)
Ho3ErSc4 after structural relaxation. Source: Alexandria, functional GGA-PBE. Values from VASP.

Summary:
- final energy (eV for the cell shown) = -86.88
- excess energy over the best structure of this formula in the dataset (meV/atom) = 0
- formation energy from the elements (eV per atom) = 0.02

Structure (Quantum ESPRESSO input):
```
&SYSTEM
  ibrav = 0, nat = 16, ntyp = 3
/
ATOMIC_SPECIES
Sc 44.96 Sc.upf
Ho 164.93 Ho.upf
Er 167.26 Er.upf
ATOMIC_POSITIONS crystal
Sc 0.9779 0.1177 0.2497
Sc 0.4779 0.8823 0.2503
Sc 0.6511 0.1176 0.5000
Sc 0.1511 0.8824 0.0000
Sc 0.6509 0.1177 0.0000
Sc 0.1509 0.8823 0.5000
Sc 0.4779 0.8823 0.7497
Sc 0.9779 0.1177 0.7503
Ho 0.9851 0.6330 0.7500
Ho 0.4851 0.3670 0.7500
Ho 0.6437 0.6330 0.0000
Ho 0.4851 0.3670 0.2500
Ho 0.1437 0.3670 0.5000
Ho 0.9851 0.6330 0.2500
Er 0.1435 0.3670 0.0000
Er 0.6435 0.6330 0.5000
CELL_PARAMETERS angstrom
-5.7627 1.5644 0.4862
-1.3694 -3.1850 -5.9829
-2.0244 -9.1080 5.3120
```

(4)
Ho6ErSc4 after structural relaxation. Source: Alexandria, functional GGA-PBE. Values from VASP.

Summary:
- final energy (eV for the cell shown) = -55.58
- excess energy over the best structure of this formula in the dataset (meV/atom) = 0
- formation energy from the elements (eV per atom) = 0.16

Structure (Quantum ESPRESSO input):
```
&SYSTEM
  ibrav = 0, nat = 11, ntyp = 3
/
ATOMIC_SPECIES
Ho 164.93 Ho.upf
Sc 44.96 Sc.upf
Er 167.26 Er.upf
ATOMIC_POSITIONS crystal
Ho 0.0000 0.5237 0.0475
Ho 0.5000 0.6336 0.8168
Ho 0.0000 0.9525 0.4763
Ho 0.5000 0.1832 0.3664
Ho 0.5000 0.1832 0.8168
Ho 0.0000 0.5237 0.4763
Sc 0.0000 0.3333 0.6667
Sc 0.5000 0.8419 0.1582
Sc 0.5000 0.3163 0.1582
Sc 0.5000 0.8419 0.6837
Er 0.0000 0.0000 0.0000
CELL_PARAMETERS angstrom
-1.7243 1.2030 -2.6881
9.0421 1.4701 -5.1422
-5.0880 -9.1532 -0.8325
```

(5)
Ho2Er2Sc after structural relaxation. Source: Alexandria, functional GGA-PBE. Values from VASP.

Summary:
- final energy (eV for the cell shown) = -48.83
- excess energy over the best structure of this formula in the dataset (meV/atom) = 0
- formation energy from the elements (eV per atom) = 0.04

Structure (Quantum ESPRESSO input):
```
&SYSTEM
  ibrav = 0, nat = 10, ntyp = 3
/
ATOMIC_SPECIES
Sc 44.96 Sc.upf
Ho 164.93 Ho.upf
Er 167.26 Er.upf
ATOMIC_POSITIONS crystal
Sc 0.7501 0.5002 0.2502
Sc 0.2499 0.4998 0.7498
Ho 0.0496 0.0992 0.3488
Ho 0.1516 0.3031 0.0496
Ho 0.8484 0.6969 0.9504
Ho 0.9504 0.9008 0.6512
Er 0.5496 0.0993 0.8484
Er 0.4504 0.9007 0.1516
Er 0.3485 0.6969 0.4504
Er 0.6515 0.3031 0.5496
CELL_PARAMETERS angstrom
4.9102 0.0001 -0.0013
-2.4552 5.4258 0.7070
-0.0029 -1.4141 10.8536
```

(6)
HoEr4Sc6 after structural relaxation. Source: Alexandria, functional GGA-PBE. Values from VASP.

Summary:
- final energy (eV for the cell shown) = -118.92
- excess energy over the best structure of this formula in the dataset (meV/atom) = 0
- formation energy from the elements (eV per atom) = 0.12

Structure (Quantum ESPRESSO input):
```
&SYSTEM
  ibrav = 0, nat = 22, ntyp = 3
/
ATOMIC_SPECIES
Er 167.26 Er.upf
Sc 44.96 Sc.upf
Ho 164.93 Ho.upf
ATOMIC_POSITIONS crystal
Er 0.5008 0.0016 0.8771
Er 0.4992 0.9984 0.3771
Er 0.1664 0.3329 0.0413
Er 0.5008 0.0016 0.6229
Er 0.8336 0.6671 0.5413
Er 0.8336 0.6671 0.9587
Er 0.4992 0.9984 0.1229
Er 0.1664 0.3329 0.4587
Sc 0.1673 0.3347 0.6031
Sc 0.8327 0.6653 0.1031
Sc 0.5007 0.0014 0.7500
Sc 0.8327 0.6653 0.3969
Sc 0.1673 0.3347 0.8969
Sc 0.5000 0.0000 0.0000
Sc 0.8341 0.6682 0.6833
Sc 0.1659 0.3318 0.1833
Sc 0.8341 0.6682 0.8167
Sc 0.1659 0.3318 0.3167
Sc 0.4993 0.9986 0.2500
Sc 0.5000 0.0000 0.5000
Ho 0.8326 0.6652 0.2500
Ho 0.1674 0.3348 0.7500
CELL_PARAMETERS angstrom
5.3378 0.0000 0.0000
-2.6689 4.6204 0.0000
0.0000 0.0000 24.3083
```

(7)
Ho5Er2Sc after structural relaxation. Source: Alexandria, functional GGA-PBE. Values from VASP.

Summary:
- final energy (eV for the cell shown) = -38.27
- excess energy over the best structure of this formula in the dataset (meV/atom) = 0
- formation energy from the elements (eV per atom) = 0.01

Structure (Quantum ESPRESSO input):
```
&SYSTEM
  ibrav = 0, nat = 8, ntyp = 3
/
ATOMIC_SPECIES
Er 167.26 Er.upf
Ho 164.93 Ho.upf
Sc 44.96 Sc.upf
ATOMIC_POSITIONS crystal
Er 0.7391 0.3248 0.5080
Er 0.2311 0.8168 0.4921
Ho 0.7369 0.8186 0.4998
Ho 0.2370 0.3186 0.5001
Ho 0.3215 0.7390 0.0001
Ho 0.8169 0.2343 0.0000
Ho 0.3207 0.2350 0.0000
Sc 0.8198 0.7358 0.9999
CELL_PARAMETERS angstrom
-2.4754 6.3873 -1.9469
2.7100 -4.4143 -4.8871
-5.1392 -3.1769 2.6120
```

(8)
Ho2Er6Sc after structural relaxation. Source: Alexandria, functional GGA-PBE. Values from VASP.

Summary:
- final energy (eV for the cell shown) = -82.71
- excess energy over the best structure of this formula in the dataset (meV/atom) = 134
- formation energy from the elements (eV per atom) = 0.17

Structure (Quantum ESPRESSO input):
```
&SYSTEM
  ibrav = 0, nat = 18, ntyp = 3
/
ATOMIC_SPECIES
Er 167.26 Er.upf
Ho 164.93 Ho.upf
Sc 44.96 Sc.upf
ATOMIC_POSITIONS crystal
Er 0.4806 0.6508 0.3629
Er 0.7281 0.5572 0.9936
Er 0.2281 0.9936 0.5572
Er 0.0194 0.6371 0.3492
Er 0.7791 0.1766 0.0362
Er 0.9806 0.3629 0.6508
Er 0.2791 0.0362 0.1766
Er 0.7209 0.9638 0.8234
Er 0.2719 0.4428 0.0064
Er 0.5194 0.3492 0.6371
Er 0.2209 0.8234 0.9638
Er 0.7719 0.0064 0.4428
Ho 0.6085 0.6950 0.6622
Ho 0.1085 0.6622 0.6950
Ho 0.8915 0.3378 0.3050
Ho 0.3915 0.3050 0.3378
Sc 0.7500 0.8422 0.1578
Sc 0.2500 0.1578 0.8422
CELL_PARAMETERS angstrom
6.9448 0.3223 0.3120
2.5022 9.0400 0.2824
2.5022 0.5752 9.0261
```

(9)
Ho5ErSc4 after structural relaxation. Source: Alexandria, functional GGA-PBE. Values from VASP.

Summary:
- final energy (eV for the cell shown) = -49.37
- excess energy over the best structure of this formula in the dataset (meV/atom) = 290
- formation energy from the elements (eV per atom) = 0.34

Structure (Quantum ESPRESSO input):
```
&SYSTEM
  ibrav = 0, nat = 10, ntyp = 3
/
ATOMIC_SPECIES
Sc 44.96 Sc.upf
Er 167.26 Er.upf
Ho 164.93 Ho.upf
ATOMIC_POSITIONS crystal
Sc 0.5060 0.5886 0.3013
Sc 0.3959 0.4114 0.6987
Sc 0.0946 0.3013 0.4114
Sc 0.8073 0.6987 0.5886
Er 0.2218 0.0000 0.0000
Ho 0.1947 0.9033 0.6098
Ho 0.8045 0.3902 0.9033
Ho 0.6798 0.0000 0.0000
Ho 0.0980 0.6098 0.0967
Ho 0.7078 0.0967 0.3902
CELL_PARAMETERS angstrom
-2.3801 2.8762 4.8457
-7.0816 2.4133 -1.0497
-3.5953 -4.5801 4.8137
```

(10)
Ho8ErSc2 after structural relaxation. Source: Alexandria, functional GGA-PBE. Values from VASP.

Summary:
- final energy (eV for the cell shown) = -51.93
- excess energy over the best structure of this formula in the dataset (meV/atom) = 0
- formation energy from the elements (eV per atom) = 0.17

Structure (Quantum ESPRESSO input):
```
&SYSTEM
  ibrav = 0, nat = 11, ntyp = 3
/
ATOMIC_SPECIES
Ho 164.93 Ho.upf
Sc 44.96 Sc.upf
Er 167.26 Er.upf
ATOMIC_POSITIONS crystal
Ho 0.5000 0.7935 0.4131
Ho 0.5000 0.2065 0.5869
Ho 0.1831 0.6581 0.2454
Ho 0.7095 0.5636 0.0000
Ho 0.8169 0.3419 0.7546
Ho 0.2905 0.4364 0.0000
Ho 0.1831 0.9035 0.7546
Ho 0.8169 0.0965 0.2454
Sc 0.0000 0.3106 0.3787
Sc 0.0000 0.6894 0.6213
Er 0.5000 0.0000 0.0000
CELL_PARAMETERS angstrom
5.5107 1.6751 0.0000
2.6996 8.4161 0.0000
1.3498 4.2080 7.9703
```

(11)
Ho15Er4Sc after structural relaxation. Source: Alexandria, functional GGA-PBE. Values from VASP.

Summary:
- final energy (eV for the cell shown) = -92.75
- formation energy from the elements (eV per atom) = 0.02

Structure (Quantum ESPRESSO input):
```
&SYSTEM
  ibrav = 0, nat = 20, ntyp = 3
/
ATOMIC_SPECIES
Ho 164.93 Ho.upf
Sc 44.96 Sc.upf
Er 167.26 Er.upf
ATOMIC_POSITIONS crystal
Ho 0.5000 0.5000 0.8024
Ho 0.0000 0.5000 0.2984
Ho 0.5000 0.5000 0.0000
Ho 0.5000 0.5000 0.6008
Ho 0.0000 0.5000 0.9029
Ho 0.0000 0.5000 0.5000
Ho 0.0000 0.5000 0.7016
Ho 0.5000 0.5000 0.3992
Ho 0.5000 0.0000 0.7016
Ho 0.5000 0.0000 0.9029
Ho 0.5000 0.0000 0.5000
Ho 0.5000 0.0000 0.2984
Ho 0.5000 0.0000 0.0971
Ho 0.5000 0.5000 0.1976
Ho 0.0000 0.5000 0.0971
Sc 0.0000 0.0000 0.0000
Er 0.0000 0.0000 0.6008
Er 0.0000 0.0000 0.3992
Er 0.0000 0.0000 0.1980
Er 0.0000 0.0000 0.8020
CELL_PARAMETERS angstrom
-4.8578 -0.4537 0.9143
-0.9116 -0.0715 -4.8789
2.2912 -24.6689 -0.0667
```

(12)
Ho12ErSc6 after structural relaxation. Source: Alexandria, functional GGA-PBE. Values from VASP.

Summary:
- final energy (eV for the cell shown) = -92.94
- excess energy over the best structure of this formula in the dataset (meV/atom) = 116
- formation energy from the elements (eV per atom) = 0.24

Structure (Quantum ESPRESSO input):
```
&SYSTEM
  ibrav = 0, nat = 19, ntyp = 3
/
ATOMIC_SPECIES
Er 167.26 Er.upf
Ho 164.93 Ho.upf
Sc 44.96 Sc.upf
ATOMIC_POSITIONS crystal
Er 0.0000 0.0000 0.0000
Ho 0.2665 0.0708 0.8044
Ho 0.0708 0.8044 0.2665
Ho 0.7335 0.5379 0.8044
Ho 0.1956 0.2665 0.4621
Ho 0.2665 0.4621 0.1956
Ho 0.9292 0.1956 0.7335
Ho 0.8044 0.2665 0.0708
Ho 0.4621 0.1956 0.2665
Ho 0.7335 0.9292 0.1956
Ho 0.5379 0.8044 0.7335
Ho 0.8044 0.7335 0.5379
Ho 0.1956 0.7335 0.9292
Sc 0.5000 0.1379 0.6379
Sc 0.3621 0.5000 0.8621
Sc 0.1379 0.6379 0.5000
Sc 0.5000 0.8621 0.3621
Sc 0.6379 0.5000 0.1379
Sc 0.8621 0.3621 0.5000
CELL_PARAMETERS angstrom
9.0012 0.0000 0.0000
-3.0004 8.4865 0.0000
-3.0004 -4.2432 7.3495
```

- Which of these has the lowest final energy?
  HoEr4Sc6